The following is a PBE-GGA calculation of an optimized crystal structure of YAlAu2, from Alexandria via LeMat-Bulk.

It has space group P2/m (No. 10), with a = 3.2903 Å, b = 3.3820 Å, c = 7.0882 Å, α = 90.00°, β = 90.15° and γ = 90.00°. Symmetry generates all atoms from Y at (0.0000, 0.0000, 0.0000), Al at (0.0000, 0.0000, 0.5000) and Au at (0.4981, 0.5000, 0.7145).

The calculation puts the density at 10.73 Mg/m³. The formation energy is -608 meV per atom. The value obtained for the density of states at the Fermi level is 1.31 states/eV/cell. The volume is 19.72 A^3/atom. The total energy comes out at -4.798 eV per atom.